P | # PBE BaW, optimized geometry
data_BaW
_space_group_name_H-M_alt 'R -3 m'
_space_group_IT_number 166
_space_group_name_Hall '-R 3 2"'
_cell_length_a 3.1077
_cell_length_b 3.1077
_cell_length_c 18.1058
_cell_angle_alpha 90.00
_cell_angle_beta 90.00
_cell_angle_gamma 120.00
loop_
_atom_site_label
_atom_site_type_symbol
_atom_site_fract_x
_atom_site_fract_y
_atom_site_fract_z
Ba1 Ba 0.0000 0.0000 0.0000
W1 W 0.0000 0.0000 0.5000
# Total magnetic moment: 0.00 μB per formula unit


Q | # PBE BaW, optimized geometry
data_BaW
_space_group_name_H-M_alt 'P 63/m m c'
_space_group_IT_number 194
_space_group_name_Hall '-P 6c 2c'
_cell_length_a 5.7967
_cell_length_b 5.7967
_cell_length_c 6.7168
_cell_angle_alpha 90.00
_cell_angle_beta 90.00
_cell_angle_gamma 120.00
loop_
_atom_site_label
_atom_site_type_symbol
_atom_site_fract_x
_atom_site_fract_y
_atom_site_fract_z
Ba1 Ba 0.3333 0.6667 0.2500
W1 W 0.3333 0.6667 0.7500
# Total magnetic moment: 4.16 μB per formula unit


Most stable of them? P.


P | # PBE BaW, optimized geometry
data_BaW
_space_group_name_H-M_alt 'P 63/m m c'
_space_group_IT_number 194
_space_group_name_Hall '-P 6c 2c'
_cell_length_a 5.9829
_cell_length_b 5.9829
_cell_length_c 4.7746
_cell_angle_alpha 90.00
_cell_angle_beta 90.00
_cell_angle_gamma 120.00
loop_
_atom_site_label
_atom_site_type_symbol
_atom_site_fract_x
_atom_site_fract_y
_atom_site_fract_z
Ba1 Ba 0.3333 0.6667 0.2500
W1 W 0.0000 0.0000 0.0000
# Total magnetic moment: 0.00 μB per formula unit


Q | # PBE BaW, optimized geometry
data_BaW
_space_group_name_H-M_alt 'P m m n'
_space_group_IT_number 59
_cell_length_a 3.320
_cell_length_b 4.050
_cell_length_c 9.864
_cell_angle_alpha 90.00
_cell_angle_beta 90.00
_cell_angle_gamma 90.00
loop_
_space_group_symop_operation_xyz
'x,y,z'
'-x,-y,-z'
'-x+1/2,-y+1/2,z'
'x+1/2,y+1/2,-z'
'x+1/2,-y,-z'
'-x+1/2,y,z'
'-x,y+1/2,-z'
'x,-y+1/2,z'
loop_
_atom_site_label
_atom_site_type_symbol
_atom_site_fract_x
_atom_site_fract_y
_atom_site_fract_z
Ba1 Ba 0.250 0.250 0.205
W1 W 0.250 0.750 0.480
# Total magnetic moment: 0.00 μB per formula unit


Most stable of them? Q.


P | # PBE Ba3W, optimized geometry
data_Ba3W
_space_group_name_H-M_alt 'I m m m'
_space_group_IT_number 71
_space_group_name_Hall '-I 2 2'
_cell_length_a 3.982
_cell_length_b 6.310
_cell_length_c 14.062
_cell_angle_alpha 90.00
_cell_angle_beta 90.00
_cell_angle_gamma 90.00
loop_
_atom_site_label
_atom_site_type_symbol
_atom_site_fract_x
_atom_site_fract_y
_atom_site_fract_z
Ba1 Ba 0.000 0.000 0.000
Ba2 Ba 0.000 0.500 0.184
W1 W 0.000 0.000 0.500
# Total magnetic moment: 2.25 μB per formula unit


Q | # PBE Ba3W, optimized geometry
data_Ba3W
_space_group_name_H-M_alt 'P 63/m m c'
_space_group_IT_number 194
_space_group_name_Hall '-P 6c 2c'
_cell_length_a 8.0662
_cell_length_b 8.0662
_cell_length_c 5.7467
_cell_angle_alpha 90.00
_cell_angle_beta 90.00
_cell_angle_gamma 120.00
loop_
_atom_site_label
_atom_site_type_symbol
_atom_site_fract_x
_atom_site_fract_y
_atom_site_fract_z
Ba1 Ba 0.1816 0.3633 0.2500
W1 W 0.3333 0.6667 0.7500
# Total magnetic moment: 2.39 μB per formula unit


R | # PBE Ba3W, optimized geometry
data_Ba3W
_space_group_name_H-M_alt 'P 4/m m m'
_space_group_IT_number 123
_space_group_name_Hall '-P 4 2'
_cell_length_a 4.032
_cell_length_b 4.032
_cell_length_c 10.793
_cell_angle_alpha 90.00
_cell_angle_beta 90.00
_cell_angle_gamma 90.00
loop_
_atom_site_label
_atom_site_type_symbol
_atom_site_fract_x
_atom_site_fract_y
_atom_site_fract_z
Ba1 Ba 0.000 0.000 0.000
Ba2 Ba 0.500 0.500 0.321
W1 W 0.000 0.000 0.500
# Total magnetic moment: 2.12 μB per formula unit


Most stable of them? R.


P | # PBE BaW3, optimized geometry
data_BaW3
_space_group_name_H-M_alt 'P -6 m 2'
_space_group_IT_number 187
_space_group_name_Hall 'P -6 2'
_cell_length_a 3.1559
_cell_length_b 3.1559
_cell_length_c 9.7671
_cell_angle_alpha 90.00
_cell_angle_beta 90.00
_cell_angle_gamma 120.00
loop_
_atom_site_label
_atom_site_type_symbol
_atom_site_fract_x
_atom_site_fract_y
_atom_site_fract_z
Ba1 Ba 0.0000 0.0000 0.0000
W1 W 0.0000 0.0000 0.5000
W2 W 0.6667 0.3333 0.3016
# Total magnetic moment: 0.00 μB per formula unit


Q | # PBE BaW3, optimized geometry
data_BaW3
_space_group_name_H-M_alt 'P 1 2/m 1'
_space_group_IT_number 10
_space_group_name_Hall '-P 2y'
_cell_length_a 2.924
_cell_length_b 4.296
_cell_length_c 7.468
_cell_angle_alpha 90.00
_cell_angle_beta 90.64
_cell_angle_gamma 90.00
loop_
_atom_site_label
_atom_site_type_symbol
_atom_site_fract_x
_atom_site_fract_y
_atom_site_fract_z
Ba1 Ba 0.000 0.000 0.000
W1 W 0.130 0.500 0.345
W2 W 0.500 0.000 0.500
# Total magnetic moment: 0.00 μB per formula unit


Most stable of them? Q.


P | # PBE Ba2W, optimized geometry
data_Ba2W
_space_group_name_H-M_alt 'P 4/m m m'
_space_group_IT_number 123
_space_group_name_Hall '-P 4 2'
_cell_length_a 5.894
_cell_length_b 5.894
_cell_length_c 3.314
_cell_angle_alpha 90.00
_cell_angle_beta 90.00
_cell_angle_gamma 90.00
loop_
_atom_site_label
_atom_site_type_symbol
_atom_site_fract_x
_atom_site_fract_y
_atom_site_fract_z
Ba1 Ba 0.000 0.500 0.000
W1 W 0.000 0.000 0.500
# Total magnetic moment: 0.32 μB per formula unit


Q | # PBE Ba2W, optimized geometry
data_Ba2W
_space_group_name_H-M_alt 'C 1 2/m 1'
_space_group_IT_number 12
_space_group_name_Hall '-C 2y'
_cell_length_a 18.359
_cell_length_b 4.099
_cell_length_c 7.089
_cell_angle_alpha 90.00
_cell_angle_beta 103.22
_cell_angle_gamma 90.00
loop_
_atom_site_label
_atom_site_type_symbol
_atom_site_fract_x
_atom_site_fract_y
_atom_site_fract_z
Ba1 Ba 0.084 0.000 0.303
Ba2 Ba 0.159 0.500 0.815
W1 W 0.235 0.500 0.397
# Total magnetic moment: 0.00 μB per formula unit


R | # PBE Ba2W, optimized geometry
data_Ba2W
_space_group_name_H-M_alt 'P 6/m m m'
_space_group_IT_number 191
_space_group_name_Hall '-P 6 2'
_cell_length_a 5.8916
_cell_length_b 5.8916
_cell_length_c 3.1182
_cell_angle_alpha 90.00
_cell_angle_beta 90.00
_cell_angle_gamma 120.00
loop_
_atom_site_label
_atom_site_type_symbol
_atom_site_fract_x
_atom_site_fract_y
_atom_site_fract_z
Ba1 Ba 0.3333 0.6667 0.0000
W1 W 0.0000 0.0000 0.5000
# Total magnetic moment: 1.07 μB per formula unit


Most stable of them? Q.